A relaxed Ga2AgRh2 crystal. Source: Alexandria, functional PBE.

Computed properties:
ΔE to the lowest computed polymorph ... 315 meV per atom
SG ... I4/mmm
Energy ... -24.32 eV per cell

CIF file:
```
data_Ga2AgRh2
_symmetry_space_group_name_H-M 'P 1'
_symmetry_Int_Tables_number 1
_cell_length_a 3.864
_cell_length_b 3.864
_cell_length_c 6.323
_cell_angle_alpha 72.21
_cell_angle_beta 72.21
_cell_angle_gamma 90.00
loop_
_symmetry_equiv_pos_as_xyz
'x,y,z'
loop_
_atom_site_label
_atom_site_type_symbol
_atom_site_fract_x
_atom_site_fract_y
_atom_site_fract_z
_atom_site_occupancy
Ag1 Ag 0.000 0.000 0.000 1
Ga1 Ga 0.250 0.750 0.500 1
Ga2 Ga 0.750 0.250 0.500 1
Rh1 Rh 0.386 0.386 0.227 1
Rh2 Rh 0.614 0.614 0.773 1
```



A relaxed GaAg2Rh crystal. Source: Alexandria, functional PBE.

Computed properties:
SG ... I-42d
Energy ... -31.44 eV per cell

CIF file:
```
data_GaAg2Rh
_symmetry_space_group_name_H-M 'P 1'
_symmetry_Int_Tables_number 1
_cell_length_a 3.734
_cell_length_b 3.734
_cell_length_c 10.330
_cell_angle_alpha 79.59
_cell_angle_beta 79.59
_cell_angle_gamma 90.00
loop_
_symmetry_equiv_pos_as_xyz
'x,y,z'
loop_
_atom_site_label
_atom_site_type_symbol
_atom_site_fract_x
_atom_site_fract_y
_atom_site_fract_z
_atom_site_occupancy
Ga1 Ga 0.500 0.500 0.000 1
Ga2 Ga 0.250 0.750 0.500 1
Ag1 Ag 0.375 0.375 0.750 1
Ag2 Ag 0.875 0.875 0.750 1
Ag3 Ag 0.125 0.625 0.250 1
Ag4 Ag 0.625 0.125 0.250 1
Rh1 Rh 0.000 0.000 0.000 1
Rh2 Rh 0.750 0.250 0.500 1
```



A relaxed Ga8AgRh2 crystal. Source: Alexandria, functional PBE.

Computed properties:
SG ... C2/m
Energy ... -44.36 eV per cell

CIF file:
```
data_Ga8AgRh2
_symmetry_space_group_name_H-M 'P 1'
_symmetry_Int_Tables_number 1
_cell_length_a 5.053
_cell_length_b 6.711
_cell_length_c 6.711
_cell_angle_alpha 60.62
_cell_angle_beta 98.23
_cell_angle_gamma 98.23
loop_
_symmetry_equiv_pos_as_xyz
'x,y,z'
loop_
_atom_site_label
_atom_site_type_symbol
_atom_site_fract_x
_atom_site_fract_y
_atom_site_fract_z
_atom_site_occupancy
Ga1 Ga 0.824 0.206 0.206 1
Ga2 Ga 0.145 0.420 0.420 1
Ga3 Ga 0.176 0.794 0.794 1
Ga4 Ga 0.605 0.622 0.178 1
Ga5 Ga 0.395 0.378 0.822 1
Ga6 Ga 0.605 0.178 0.622 1
Ga7 Ga 0.855 0.580 0.580 1
Ga8 Ga 0.395 0.822 0.378 1
Rh1 Rh 0.336 0.233 0.233 1
Rh2 Rh 0.664 0.767 0.767 1
Ag1 Ag 0.000 0.000 0.000 1
```



A relaxed Ga8Ag2Rh crystal. Source: Alexandria, functional PBE.

Computed properties:
SG ... C2/m
Energy ... -38.80 eV per cell

CIF file:
```
data_Ga8Ag2Rh
_symmetry_space_group_name_H-M 'P 1'
_symmetry_Int_Tables_number 1
_cell_length_a 4.322
_cell_length_b 5.409
_cell_length_c 9.909
_cell_angle_alpha 117.24
_cell_angle_beta 102.60
_cell_angle_gamma 90.00
loop_
_symmetry_equiv_pos_as_xyz
'x,y,z'
loop_
_atom_site_label
_atom_site_type_symbol
_atom_site_fract_x
_atom_site_fract_y
_atom_site_fract_z
_atom_site_occupancy
Ga1 Ga 0.629 0.443 0.259 1
Ga2 Ga 0.207 0.338 0.415 1
Ga3 Ga 0.793 0.662 0.585 1
Ga4 Ga 0.008 0.277 0.017 1
Ga5 Ga 0.385 0.094 0.769 1
Ga6 Ga 0.371 0.557 0.741 1
Ga7 Ga 0.615 0.906 0.231 1
Ga8 Ga 0.992 0.723 0.983 1
Ag1 Ag 0.190 0.820 0.380 1
Ag2 Ag 0.810 0.180 0.620 1
Rh1 Rh 0.500 0.000 0.000 1
```



A relaxed Ga4AgRh crystal. Source: Alexandria, functional PBE.

Computed properties:
SG ... C2/c
Energy ... -47.08 eV per cell

CIF file:
```
data_Ga4AgRh
_symmetry_space_group_name_H-M 'P 1'
_symmetry_Int_Tables_number 1
_cell_length_a 5.501
_cell_length_b 8.159
_cell_length_c 6.973
_cell_angle_alpha 124.50
_cell_angle_beta 111.52
_cell_angle_gamma 92.71
loop_
_symmetry_equiv_pos_as_xyz
'x,y,z'
loop_
_atom_site_label
_atom_site_type_symbol
_atom_site_fract_x
_atom_site_fract_y
_atom_site_fract_z
_atom_site_occupancy
Ga1 Ga 0.382 0.666 0.823 1
Ga2 Ga 0.059 0.843 0.177 1
Ga3 Ga 0.223 0.303 0.386 1
Ga4 Ga 0.663 0.083 0.386 1
Ga5 Ga 0.618 0.334 0.177 1
Ga6 Ga 0.337 0.917 0.614 1
Ga7 Ga 0.777 0.697 0.614 1
Ga8 Ga 0.941 0.157 0.823 1
Rh1 Rh 0.238 0.988 0.976 1
Rh2 Rh 0.762 0.012 0.024 1
Ag1 Ag 0.303 0.553 0.105 1
Ag2 Ag 0.697 0.447 0.895 1
```



A relaxed GaAgRh crystal. Source: Alexandria, functional PBE.

Computed properties:
SG ... Cmcm
Energy ... -28.34 eV per cell

CIF file:
```
data_GaAgRh
_symmetry_space_group_name_H-M 'P 1'
_symmetry_Int_Tables_number 1
_cell_length_a 3.021
_cell_length_b 4.357
_cell_length_c 7.172
_cell_angle_alpha 90.00
_cell_angle_beta 102.16
_cell_angle_gamma 90.00
loop_
_symmetry_equiv_pos_as_xyz
'x,y,z'
loop_
_atom_site_label
_atom_site_type_symbol
_atom_site_fract_x
_atom_site_fract_y
_atom_site_fract_z
_atom_site_occupancy
Ag1 Ag 0.729 0.250 0.458 1
Ag2 Ag 0.271 0.750 0.542 1
Rh1 Rh 0.579 0.750 0.159 1
Rh2 Rh 0.421 0.250 0.841 1
Ga1 Ga 0.930 0.750 0.860 1
Ga2 Ga 0.070 0.250 0.140 1
```



A relaxed Ga2AgRh crystal. Source: Alexandria, functional PBE.

Computed properties:
ΔE to the lowest computed polymorph ... 51 meV per atom
SG ... Fm-3m
Energy ... -17.16 eV per cell

CIF file:
```
data_Ga2AgRh
_symmetry_space_group_name_H-M 'P 1'
_symmetry_Int_Tables_number 1
_cell_length_a 4.438
_cell_length_b 4.438
_cell_length_c 4.438
_cell_angle_alpha 60.00
_cell_angle_beta 60.00
_cell_angle_gamma 60.00
loop_
_symmetry_equiv_pos_as_xyz
'x,y,z'
loop_
_atom_site_label
_atom_site_type_symbol
_atom_site_fract_x
_atom_site_fract_y
_atom_site_fract_z
_atom_site_occupancy
Rh1 Rh 0.000 0.000 0.000 1
Ag1 Ag 0.500 0.500 0.500 1
Ga1 Ga 0.750 0.750 0.750 1
Ga2 Ga 0.250 0.250 0.250 1
```



A relaxed Ga2AgRh crystal. Source: Alexandria, functional PBE.

Computed properties:
ΔE to the lowest computed polymorph ... 39 meV per atom
SG ... R3m
Energy ... -17.21 eV per cell

CIF file:
```
data_Ga2AgRh
_symmetry_space_group_name_H-M 'P 1'
_symmetry_Int_Tables_number 1
_cell_length_a 4.073
_cell_length_b 4.073
_cell_length_c 5.397
_cell_angle_alpha 67.83
_cell_angle_beta 67.83
_cell_angle_gamma 60.00
loop_
_symmetry_equiv_pos_as_xyz
'x,y,z'
loop_
_atom_site_label
_atom_site_type_symbol
_atom_site_fract_x
_atom_site_fract_y
_atom_site_fract_z
_atom_site_occupancy
Ga1 Ga 0.065 0.065 0.805 1
Ga2 Ga 0.267 0.267 0.198 1
Ag1 Ag 0.488 0.488 0.537 1
Rh1 Rh 0.680 0.680 0.960 1
```



A relaxed Ga2AgRh2 crystal. Source: Alexandria, functional PBE.

Computed properties:
ΔE to the lowest computed polymorph ... 0 meV per atom
SG ... P4/mbm
Energy ... -51.78 eV per cell

CIF file:
```
data_Ga2AgRh2
_symmetry_space_group_name_H-M 'P 1'
_symmetry_Int_Tables_number 1
_cell_length_a 7.206
_cell_length_b 7.206
_cell_length_c 2.932
_cell_angle_alpha 90.00
_cell_angle_beta 90.00
_cell_angle_gamma 90.00
loop_
_symmetry_equiv_pos_as_xyz
'x,y,z'
loop_
_atom_site_label
_atom_site_type_symbol
_atom_site_fract_x
_atom_site_fract_y
_atom_site_fract_z
_atom_site_occupancy
Ga1 Ga 0.143 0.357 0.000 1
Ga2 Ga 0.357 0.857 0.000 1
Ga3 Ga 0.643 0.143 0.000 1
Ga4 Ga 0.857 0.643 0.000 1
Rh1 Rh 0.152 0.652 0.500 1
Rh2 Rh 0.848 0.348 0.500 1
Rh3 Rh 0.348 0.152 0.500 1
Rh4 Rh 0.652 0.848 0.500 1
Ag1 Ag 0.500 0.500 0.000 1
Ag2 Ag 0.000 0.000 0.000 1
```



A relaxed Ga2AgRh crystal. Source: Alexandria, functional PBE.

Computed properties:
ΔE to the lowest computed polymorph ... 0 meV per atom
SG ... P4/mmm
Energy ... -17.36 eV per cell

CIF file:
```
data_Ga2AgRh
_symmetry_space_group_name_H-M 'P 1'
_symmetry_Int_Tables_number 1
_cell_length_a 3.094
_cell_length_b 3.094
_cell_length_c 6.561
_cell_angle_alpha 90.00
_cell_angle_beta 90.00
_cell_angle_gamma 90.00
loop_
_symmetry_equiv_pos_as_xyz
'x,y,z'
loop_
_atom_site_label
_atom_site_type_symbol
_atom_site_fract_x
_atom_site_fract_y
_atom_site_fract_z
_atom_site_occupancy
Ga1 Ga 0.000 0.000 0.224 1
Ga2 Ga 0.000 0.000 0.776 1
Ag1 Ag 0.500 0.500 0.500 1
Rh1 Rh 0.500 0.500 0.000 1
```



A relaxed Ga6Ag2Rh crystal. Source: Alexandria, functional PBE.

Computed properties:
SG ... Amm2
Energy ... -32.36 eV per cell

CIF file:
```
data_Ga6Ag2Rh
_symmetry_space_group_name_H-M 'P 1'
_symmetry_Int_Tables_number 1
_cell_length_a 3.642
_cell_length_b 6.225
_cell_length_c 7.859
_cell_angle_alpha 113.33
_cell_angle_beta 90.00
_cell_angle_gamma 90.00
loop_
_symmetry_equiv_pos_as_xyz
'x,y,z'
loop_
_atom_site_label
_atom_site_type_symbol
_atom_site_fract_x
_atom_site_fract_y
_atom_site_fract_z
_atom_site_occupancy
Ga1 Ga 0.000 0.975 0.224 1
Ga2 Ga 0.500 0.593 0.000 1
Ga3 Ga 0.000 0.298 0.000 1
Ga4 Ga 0.500 0.359 0.330 1
Ga5 Ga 0.000 0.751 0.776 1
Ga6 Ga 0.500 0.029 0.670 1
Rh1 Rh 0.500 0.998 0.000 1
Ag1 Ag 0.000 0.708 0.418 1
Ag2 Ag 0.000 0.290 0.582 1
```



A relaxed Ga2AgRh crystal. Source: Alexandria, functional PBE.

Computed properties:
ΔE to the lowest computed polymorph ... 29 meV per atom
SG ... R-3m
Energy ... -17.25 eV per cell

CIF file:
```
data_Ga2AgRh
_symmetry_space_group_name_H-M 'P 1'
_symmetry_Int_Tables_number 1
_cell_length_a 2.975
_cell_length_b 2.975
_cell_length_c 8.659
_cell_angle_alpha 80.11
_cell_angle_beta 80.11
_cell_angle_gamma 60.00
loop_
_symmetry_equiv_pos_as_xyz
'x,y,z'
loop_
_atom_site_label
_atom_site_type_symbol
_atom_site_fract_x
_atom_site_fract_y
_atom_site_fract_z
_atom_site_occupancy
Ga1 Ga 0.258 0.258 0.226 1
Ga2 Ga 0.742 0.742 0.774 1
Rh1 Rh 0.000 0.000 0.000 1
Ag1 Ag 0.500 0.500 0.500 1
```



| no. | D(E_F) (states/eV/atom) | energy of formation (eV/atom) |
| --- | --- | --- |
| 1 | 0.64 | -0.142 |
| 2 | 0.42 | 0.090 |
| 3 | 0.23 | -0.235 |
| 4 | 0.24 | -0.139 |
| 5 | 0.28 | -0.205 |
| 6 | 0.33 | -0.313 |
| 7 | 0.43 | -0.225 |
| 8 | 0.37 | -0.237 |
| 9 | 0.32 | -0.457 |
| 10 | 0.57 | -0.277 |
| 11 | 0.33 | -0.128 |
| 12 | 0.72 | -0.247 |